1.
Computed, not measured: HfSb3P after structural relaxation at the GGA-PBE level of DFT.

uncorrected formation energy	619	meV per atom
energy above the lowest structure with this stoichiometry	0.000	eV per formula unit

Cell lengths 5.084, 5.084, 5.084 Å; angles 90.00, 90.00, 90.00 degrees
Fractional coordinates of all 5 atoms:
1 Sb 0.500 0.000 0.000
2 Hf 0.500 0.500 0.500
3 Sb 0.000 0.000 0.500
4 P 0.000 0.000 0.000
5 Sb 0.000 0.500 0.000

=====

2.
Computed, not measured: Hf4Sb2P after structural relaxation at the GGA-PBE level of DFT.

uncorrected formation energy	-452	meV per atom
energy above the lowest structure with this stoichiometry	0.000	eV per formula unit

Cell lengths 3.669, 6.564, 7.554 Å; angles 116.44, 104.06, 90.00 degrees
Fractional coordinates of all 7 atoms:
1 P 0.000 0.000 0.000
2 Hf 0.602 0.287 0.204
3 Hf 0.398 0.713 0.796
4 Hf 0.088 0.741 0.176
5 Sb 0.249 0.230 0.497
6 Sb 0.751 0.770 0.503
7 Hf 0.912 0.259 0.824

=====

- Which of these has the lowest uncorrected formation energy?
  Hf4Sb2P